(1)
# Sn2H10C4N2O9F2, optimized geometry, DFT PBE
data_Sn2H10C4N2O9F2
_chemical_formula_sum 'Sn8 H40 C16 N8 O36 F8'
_cell_length_a 10.2544
_cell_length_b 10.1772
_cell_length_c 12.5865
_cell_angle_alpha 90.00
_cell_angle_beta 94.23
_cell_angle_gamma 90.00
_symmetry_space_group_name_H-M 'P 1'
_symmetry_Int_Tables_number 1
loop_
_symmetry_equiv_pos_as_xyz
'x,y,z'
loop_
_atom_site_label
_atom_site_type_symbol
_atom_site_fract_x
_atom_site_fract_y
_atom_site_fract_z
_atom_site_occupancy
Sn1 Sn 0.0088 0.1501 0.3898 1
Sn2 Sn 0.0088 0.3499 0.8898 1
Sn3 Sn 0.3709 0.6905 0.0006 1
Sn4 Sn 0.3709 0.8095 0.5006 1
Sn5 Sn 0.6291 0.1905 0.4994 1
Sn6 Sn 0.6291 0.3095 0.9994 1
Sn7 Sn 0.9912 0.6501 0.1102 1
Sn8 Sn 0.9912 0.8499 0.6102 1
H1 H 0.0929 0.5424 0.5978 1
H2 H 0.0929 0.9576 0.0978 1
H3 H 0.1315 0.0881 0.0244 1
H4 H 0.1315 0.4119 0.5244 1
H5 H 0.1480 0.0981 0.7876 1
H6 H 0.1480 0.4019 0.2876 1
H7 H 0.1863 0.0786 0.1544 1
H8 H 0.1863 0.4214 0.6544 1
H9 H 0.1961 0.1153 0.6712 1
H10 H 0.1961 0.3847 0.1712 1
H11 H 0.2482 0.5246 0.5627 1
H12 H 0.2482 0.9754 0.0627 1
H13 H 0.3694 0.0487 0.7733 1
H14 H 0.3694 0.4513 0.2733 1
H15 H 0.4842 0.6195 0.7487 1
H16 H 0.4842 0.8805 0.2487 1
H17 H 0.4951 0.0455 0.2461 1
H18 H 0.4951 0.4545 0.7461 1
H19 H 0.4993 0.5449 0.6321 1
H20 H 0.4993 0.9551 0.1321 1
H21 H 0.5007 0.0449 0.8679 1
H22 H 0.5007 0.4551 0.3679 1
H23 H 0.5049 0.5455 0.2539 1
H24 H 0.5049 0.9545 0.7539 1
H25 H 0.5158 0.1195 0.7513 1
H26 H 0.5158 0.3805 0.2513 1
H27 H 0.6306 0.5487 0.7267 1
H28 H 0.6306 0.9513 0.2267 1
H29 H 0.7518 0.0246 0.9373 1
H30 H 0.7518 0.4754 0.4373 1
H31 H 0.8039 0.6153 0.8288 1
H32 H 0.8039 0.8847 0.3288 1
H33 H 0.8137 0.5786 0.3456 1
H34 H 0.8137 0.9214 0.8456 1
H35 H 0.8520 0.5981 0.7124 1
H36 H 0.8520 0.9019 0.2124 1
H37 H 0.8685 0.5881 0.4756 1
H38 H 0.8685 0.9119 0.9756 1
H39 H 0.9071 0.0424 0.9022 1
H40 H 0.9071 0.4576 0.4022 1
C1 C 0.1224 0.7221 0.3390 1
C2 C 0.1224 0.7779 0.8390 1
C3 C 0.2371 0.7480 0.7685 1
C4 C 0.2371 0.7520 0.2685 1
C5 C 0.3120 0.1815 0.4991 1
C6 C 0.3120 0.3185 0.9991 1
C7 C 0.3237 0.1546 0.3776 1
C8 C 0.3237 0.3454 0.8776 1
C9 C 0.6763 0.6546 0.1224 1
C10 C 0.6763 0.8454 0.6224 1
C11 C 0.6881 0.6815 0.0009 1
C12 C 0.6881 0.8185 0.5009 1
C13 C 0.7629 0.2480 0.7315 1
C14 C 0.7629 0.2520 0.2315 1
C15 C 0.8776 0.2221 0.1610 1
C16 C 0.8776 0.2779 0.6610 1
N1 N 0.1659 0.0255 0.0852 1
N2 N 0.1659 0.4745 0.5852 1
N3 N 0.4720 0.0410 0.7873 1
N4 N 0.4720 0.4590 0.2873 1
N5 N 0.5280 0.5410 0.7127 1
N6 N 0.5280 0.9590 0.2127 1
N7 N 0.8341 0.5255 0.4148 1
N8 N 0.8341 0.9745 0.9148 1
O1 O 0.0130 0.6897 0.2920 1
O2 O 0.0130 0.8103 0.7920 1
O3 O 0.1444 0.7335 0.4386 1
O4 O 0.1444 0.7665 0.9386 1
O5 O 0.1989 0.1747 0.5333 1
O6 O 0.1989 0.3253 0.0333 1
O7 O 0.2048 0.0596 0.7359 1
O8 O 0.2048 0.4404 0.2359 1
O9 O 0.2121 0.7478 0.6688 1
O10 O 0.2121 0.7522 0.1688 1
O11 O 0.2195 0.1243 0.3211 1
O12 O 0.2195 0.3757 0.8211 1
O13 O 0.3490 0.7236 0.8156 1
O14 O 0.3490 0.7764 0.3156 1
O15 O 0.4158 0.2064 0.5568 1
O16 O 0.4158 0.2936 0.0568 1
O17 O 0.4366 0.1618 0.3443 1
O18 O 0.4366 0.3382 0.8443 1
O19 O 0.5634 0.6618 0.1557 1
O20 O 0.5634 0.8382 0.6557 1
O21 O 0.5842 0.7064 0.9432 1
O22 O 0.5842 0.7936 0.4432 1
O23 O 0.6510 0.2236 0.6844 1
O24 O 0.6510 0.2764 0.1844 1
O25 O 0.7805 0.6243 0.1789 1
O26 O 0.7805 0.8757 0.6789 1
O27 O 0.7879 0.2478 0.8312 1
O28 O 0.7879 0.2522 0.3312 1
O29 O 0.7952 0.5596 0.7641 1
O30 O 0.7952 0.9404 0.2641 1
O31 O 0.8011 0.6747 0.9667 1
O32 O 0.8011 0.8253 0.4667 1
O33 O 0.8556 0.2335 0.0614 1
O34 O 0.8556 0.2665 0.5614 1
O35 O 0.9870 0.1897 0.2080 1
O36 O 0.9870 0.3103 0.7080 1
F1 F 0.0534 0.1435 0.8943 1
F2 F 0.0534 0.3565 0.3943 1
F3 F 0.3894 0.6055 0.5204 1
F4 F 0.3894 0.8945 0.0204 1
F5 F 0.6106 0.1055 0.9796 1
F6 F 0.6106 0.3945 0.4796 1
F7 F 0.9466 0.6435 0.6057 1
F8 F 0.9466 0.8565 0.1057 1
# - Raw total energy: -6.02 eV/atom
# - SG: P2_1/c (14)
# - Spin magnetization: 0.000 μB per atom
# - ρ: 2.56 g cm⁻³


(2)
# Nb2BrO, optimized geometry, DFT PBE
data_Nb2BrO
_chemical_formula_sum 'Nb4 Br2 O2'
_cell_length_a 7.5884
_cell_length_b 7.5884
_cell_length_c 7.5884
_cell_angle_alpha 144.68
_cell_angle_beta 144.68
_cell_angle_gamma 50.82
_symmetry_space_group_name_H-M 'P 1'
_symmetry_Int_Tables_number 1
loop_
_symmetry_equiv_pos_as_xyz
'x,y,z'
loop_
_atom_site_label
_atom_site_type_symbol
_atom_site_fract_x
_atom_site_fract_y
_atom_site_fract_z
_atom_site_occupancy
Nb1 Nb 0.0309 0.6250 0.9059 1
Nb2 Nb 0.3750 0.2809 0.4059 1
Nb3 Nb 0.7191 0.1250 0.0941 1
Nb4 Nb 0.8750 0.9691 0.5941 1
Br1 Br 0.2500 0.7500 0.5000 1
Br2 Br 0.5000 0.5000 0.0000 1
O1 O 0.0000 0.0000 0.0000 1
O2 O 0.7500 0.2500 0.5000 1
# - Relative energy among the computed polymorphs: 0.0 meV/atom
# - SG: I-42d (122)
# - Uncorrected formation energy: -0.42 eV/atom
# - Spin magnetization: 0.000 μB per atom
# - ρ: 6.44 g cm⁻³


(3)
# DyTh2Bi2As2, optimized geometry, DFT PBE
data_DyTh2Bi2As2
_chemical_formula_sum 'Dy1 Th2 Bi2 As2'
_cell_length_a 8.8263
_cell_length_b 8.8263
_cell_length_c 8.8263
_cell_angle_alpha 145.38
_cell_angle_beta 145.38
_cell_angle_gamma 49.76
_symmetry_space_group_name_H-M 'P 1'
_symmetry_Int_Tables_number 1
loop_
_symmetry_equiv_pos_as_xyz
'x,y,z'
loop_
_atom_site_label
_atom_site_type_symbol
_atom_site_fract_x
_atom_site_fract_y
_atom_site_fract_z
_atom_site_occupancy
Dy1 Dy 0.0000 0.0000 0.0000 1
Th1 Th 0.3922 0.3922 0.0000 1
Th2 Th 0.6078 0.6078 0.0000 1
Bi1 Bi 0.1953 0.1953 0.0000 1
Bi2 Bi 0.8047 0.8047 0.0000 1
As1 As 0.0000 0.5000 0.5000 1
As2 As 0.5000 0.0000 0.5000 1
# - Raw total energy: -5.84 eV/atom
# - SG: I4/mmm (139)
# - Spin magnetization: 0.000 μB per atom
# - ρ: 8.98 g cm⁻³


(4)
# MgCuAgGe, optimized geometry, DFT PBE
data_MgCuAgGe
_chemical_formula_sum 'Mg1 Cu1 Ag1 Ge1'
_cell_length_a 4.5607
_cell_length_b 4.5607
_cell_length_c 4.5607
_cell_angle_alpha 60.00
_cell_angle_beta 60.00
_cell_angle_gamma 60.00
_symmetry_space_group_name_H-M 'P 1'
_symmetry_Int_Tables_number 1
loop_
_symmetry_equiv_pos_as_xyz
'x,y,z'
loop_
_atom_site_label
_atom_site_type_symbol
_atom_site_fract_x
_atom_site_fract_y
_atom_site_fract_z
_atom_site_occupancy
Mg1 Mg 0.0000 0.0000 0.0000 1
Cu1 Cu 0.5000 0.5000 0.5000 1
Ag1 Ag 0.7500 0.7500 0.7500 1
Ge1 Ge 0.2500 0.2500 0.2500 1
# - Raw total energy: -3.27 eV/atom
# - SG: F-43m (216)
# - Spin magnetization: 0.000 μB per atom
# - ρ: 6.64 g cm⁻³


(5)
# Tl2AgSeO4, optimized geometry, DFT PBE
data_Tl2AgSeO4
_chemical_formula_sum 'Tl4 Ag2 Se2 O8'
_cell_length_a 11.3688
_cell_length_b 10.4550
_cell_length_c 6.2717
_cell_angle_alpha 81.50
_cell_angle_beta 65.44
_cell_angle_gamma 33.07
_symmetry_space_group_name_H-M 'P 1'
_symmetry_Int_Tables_number 1
loop_
_symmetry_equiv_pos_as_xyz
'x,y,z'
loop_
_atom_site_label
_atom_site_type_symbol
_atom_site_fract_x
_atom_site_fract_y
_atom_site_fract_z
_atom_site_occupancy
Tl1 Tl 0.0461 0.0461 0.7039 1
Tl2 Tl 0.2961 0.2961 0.9539 1
Tl3 Tl 0.7039 0.7039 0.0461 1
Tl4 Tl 0.9539 0.9539 0.2961 1
Ag1 Ag 0.1250 0.1250 0.1250 1
Ag2 Ag 0.8750 0.8750 0.8750 1
Se1 Se 0.3750 0.3750 0.3750 1
Se2 Se 0.6250 0.6250 0.6250 1
O1 O 0.0779 0.5781 0.4879 1
O2 O 0.3561 0.4879 0.5781 1
O3 O 0.4219 0.9221 0.6439 1
O4 O 0.4879 0.3561 0.0779 1
O5 O 0.5121 0.6439 0.9221 1
O6 O 0.5781 0.0779 0.3561 1
O7 O 0.6439 0.5121 0.4219 1
O8 O 0.9221 0.4219 0.5121 1
# - SG: Fddd (70)
# - Uncorrected formation energy: -0.43 eV/atom
# - Spin magnetization: 0.000 μB per atom
# - ρ: 6.47 g cm⁻³


(6)
# CsTeF2, optimized geometry, DFT PBE
data_CsTeF2
_chemical_formula_sum 'Cs2 Te2 F4'
_cell_length_a 6.4744
_cell_length_b 6.4744
_cell_length_c 6.4744
_cell_angle_alpha 110.41
_cell_angle_beta 110.41
_cell_angle_gamma 107.62
_symmetry_space_group_name_H-M 'P 1'
_symmetry_Int_Tables_number 1
loop_
_symmetry_equiv_pos_as_xyz
'x,y,z'
loop_
_atom_site_label
_atom_site_type_symbol
_atom_site_fract_x
_atom_site_fract_y
_atom_site_fract_z
_atom_site_occupancy
Cs1 Cs 0.0000 0.0000 0.0000 1
Cs2 Cs 0.7500 0.2500 0.5000 1
Te1 Te 0.2500 0.7500 0.5000 1
Te2 Te 0.5000 0.5000 0.0000 1
F1 F 0.1856 0.6250 0.0606 1
F2 F 0.3750 0.4356 0.5606 1
F3 F 0.5644 0.1250 0.9394 1
F4 F 0.8750 0.8144 0.4394 1
# - Relative energy among the computed polymorphs: 435.1 meV/atom
# - SG: I-42d (122)
# - Uncorrected formation energy: -1.38 eV/atom
# - Spin magnetization: 0.001 μB per atom
# - ρ: 4.75 g cm⁻³


(7)
# Be2AgAs, optimized geometry, DFT PBE
data_Be2AgAs
_chemical_formula_sum 'Be2 Ag1 As1'
_cell_length_a 7.5195
_cell_length_b 7.5195
_cell_length_c 7.5195
_cell_angle_alpha 22.45
_cell_angle_beta 22.45
_cell_angle_gamma 22.45
_symmetry_space_group_name_H-M 'P 1'
_symmetry_Int_Tables_number 1
loop_
_symmetry_equiv_pos_as_xyz
'x,y,z'
loop_
_atom_site_label
_atom_site_type_symbol
_atom_site_fract_x
_atom_site_fract_y
_atom_site_fract_z
_atom_site_occupancy
Be1 Be 0.2475 0.2475 0.2475 1
Be2 Be 0.7525 0.7525 0.7525 1
Ag1 Ag 0.0000 0.0000 0.0000 1
As1 As 0.5000 0.5000 0.5000 1
# - Raw total energy: -3.38 eV/atom
# - SG: R-3m (166)
# - Spin magnetization: 0.000 μB per atom
# - ρ: 6.13 g cm⁻³


(8)
# Ac2ErTh, optimized geometry, DFT PBE
data_Ac2ErTh
_chemical_formula_sum 'Ac2 Er1 Th1'
_cell_length_a 5.9831
_cell_length_b 5.9831
_cell_length_c 5.9831
_cell_angle_alpha 60.00
_cell_angle_beta 60.00
_cell_angle_gamma 60.00
_symmetry_space_group_name_H-M 'P 1'
_symmetry_Int_Tables_number 1
loop_
_symmetry_equiv_pos_as_xyz
'x,y,z'
loop_
_atom_site_label
_atom_site_type_symbol
_atom_site_fract_x
_atom_site_fract_y
_atom_site_fract_z
_atom_site_occupancy
Ac1 Ac 0.2500 0.2500 0.2500 1
Ac2 Ac 0.7500 0.7500 0.7500 1
Er1 Er 0.0000 0.0000 0.0000 1
Th1 Th 0.5000 0.5000 0.5000 1
# - Relative energy among the computed polymorphs: 134.1 meV/atom
# - SG: Fm-3m (225)
# - Spin magnetization: 0.002 μB per atom
# - ρ: 9.36 g cm⁻³


(9)
# Ba2DySb2, optimized geometry, DFT PBE
data_Ba2DySb2
_chemical_formula_sum 'Ba4 Dy2 Sb4'
_cell_length_a 8.9144
_cell_length_b 8.9144
_cell_length_c 8.9144
_cell_angle_alpha 124.64
_cell_angle_beta 75.65
_cell_angle_gamma 132.80
_symmetry_space_group_name_H-M 'P 1'
_symmetry_Int_Tables_number 1
loop_
_symmetry_equiv_pos_as_xyz
'x,y,z'
loop_
_atom_site_label
_atom_site_type_symbol
_atom_site_fract_x
_atom_site_fract_y
_atom_site_fract_z
_atom_site_occupancy
Ba1 Ba 0.1464 0.1570 0.3034 1
Ba2 Ba 0.3536 0.6570 0.0106 1
Ba3 Ba 0.6464 0.3430 0.9894 1
Ba4 Ba 0.8536 0.8430 0.6966 1
Dy1 Dy 0.2500 0.7500 0.5000 1
Dy2 Dy 0.7500 0.2500 0.5000 1
Sb1 Sb 0.1094 0.7344 0.8438 1
Sb2 Sb 0.3906 0.2344 0.6250 1
Sb3 Sb 0.6094 0.7656 0.3750 1
Sb4 Sb 0.8906 0.2656 0.1562 1
# - SG: Ibam (72)
# - Uncorrected formation energy: -0.92 eV/atom
# - Spin magnetization: 0.128 μB per atom
# - ρ: 5.43 g cm⁻³


(10)
# CsVC2, optimized geometry, DFT PBE
data_CsVC2
_chemical_formula_sum 'Cs2 V2 C4'
_cell_length_a 6.2320
_cell_length_b 6.2320
_cell_length_c 6.2320
_cell_angle_alpha 120.14
_cell_angle_beta 120.14
_cell_angle_gamma 89.75
_symmetry_space_group_name_H-M 'P 1'
_symmetry_Int_Tables_number 1
loop_
_symmetry_equiv_pos_as_xyz
'x,y,z'
loop_
_atom_site_label
_atom_site_type_symbol
_atom_site_fract_x
_atom_site_fract_y
_atom_site_fract_z
_atom_site_occupancy
Cs1 Cs 0.3750 0.6250 0.7500 1
Cs2 Cs 0.6250 0.3750 0.2500 1
V1 V 0.1250 0.8750 0.2500 1
V2 V 0.8750 0.1250 0.7500 1
C1 C 0.0000 0.0000 0.0000 1
C2 C 0.0000 0.0000 0.5000 1
C3 C 0.0000 0.5000 0.0000 1
C4 C 0.5000 0.0000 0.5000 1
# - Raw total energy: -6.34 eV/atom
# - SG: I4_1/amd (141)
# - Spin magnetization: 0.000 μB per atom
# - ρ: 4.04 g cm⁻³


(11)
# BeP2SeO, optimized geometry, DFT PBE
data_BeP2SeO
_chemical_formula_sum 'Be1 P2 Se1 O1'
_cell_length_a 4.9142
_cell_length_b 4.9142
_cell_length_c 2.9701
_cell_angle_alpha 90.00
_cell_angle_beta 90.00
_cell_angle_gamma 90.00
_symmetry_space_group_name_H-M 'P 1'
_symmetry_Int_Tables_number 1
loop_
_symmetry_equiv_pos_as_xyz
'x,y,z'
loop_
_atom_site_label
_atom_site_type_symbol
_atom_site_fract_x
_atom_site_fract_y
_atom_site_fract_z
_atom_site_occupancy
Be1 Be 0.0000 0.0000 0.0000 1
P1 P 0.0000 0.5000 0.0000 1
P2 P 0.5000 0.0000 0.0000 1
Se1 Se 0.5000 0.5000 0.5000 1
O1 O 0.0000 0.0000 0.5000 1
# - Relative energy among the computed polymorphs: 0.0 meV/atom
# - SG: P4/mmm (123)
# - Uncorrected formation energy: 0.05 eV/atom
# - Spin magnetization: 0.000 μB per atom
# - ρ: 3.84 g cm⁻³


(12)
# NiPtW, optimized geometry, DFT PBE
data_NiPtW
_chemical_formula_sum 'Ni1 Pt1 W1'
_cell_length_a 4.1667
_cell_length_b 4.1667
_cell_length_c 4.1667
_cell_angle_alpha 60.00
_cell_angle_beta 60.00
_cell_angle_gamma 60.00
_symmetry_space_group_name_H-M 'P 1'
_symmetry_Int_Tables_number 1
loop_
_symmetry_equiv_pos_as_xyz
'x,y,z'
loop_
_atom_site_label
_atom_site_type_symbol
_atom_site_fract_x
_atom_site_fract_y
_atom_site_fract_z
_atom_site_occupancy
Ni1 Ni 0.0000 0.0000 0.0000 1
Pt1 Pt 0.5000 0.5000 0.5000 1
W1 W 0.7500 0.7500 0.7500 1
# - Relative energy among the computed polymorphs: 653.9 meV/atom
# - SG: F-43m (216)
# - Spin magnetization: 0.000 μB per atom
# - ρ: 14.21 g cm⁻³